InTeMo2 (PBE-GGA, optimized geometry); M_tot = 0.00 μB per cell; volume = 75.93 Å³/cell; energy relative to the elements, uncorrected = 491 meV/atom; energy above the lowest structure with this stoichiometry = 308 meV/atom; calculated total energy = -6.395 eV/atom; Fermi-level density of states = 5.08 states/eV per cell
1.0
1.5749 0.9093 8.8365
-1.5749 0.9093 8.8365
0.0000 -1.8186 8.8365
In Te Mo
1 1 2
Direct
0.0000 0.0000 0.0000
0.5000 0.5000 0.5000
0.2457 0.2457 0.2457
0.7543 0.7543 0.7543